HfFeOs2I: relaxed, PBEsol.

## Properties
The uncorrected formation energy comes out at 2.4956 eV/atom. As for the space-group type: P4/mmm (123).

a = 4.7304 Å, b = 4.7304 Å, c = 5.0351 Å
α = 90.00°, β = 90.00°, γ = 90.00°
Element x y z (fractional)
1 Hf 0.0000 0.0000 0.0000
2 Fe 0.5000 0.5000 0.0000
3 Os 0.0000 0.5000 0.5000
4 Os 0.5000 0.0000 0.5000
5 I 0.0000 0.0000 0.5000